# K3NaCr PBEsol optimized geometry
# * energy of formation from the pure elements: 0.7043 eV/atom
# * V: 299 Å³/cell
# * VASP energy: -11.5 eV/cell
# * density of states at the Fermi level: 0.610 states/eV/atom
# * ρ: 1.1 Mg/m³
data_K3NaCr
_cell_length_a 6.6836
_cell_length_b 6.6836
_cell_length_c 6.6836
_cell_angle_alpha 90.00
_cell_angle_beta 90.00
_cell_angle_gamma 90.00
_space_group_name_H-M_alt 'P m -3 m'
_space_group_IT_number 221
_space_group_name_Hall '-P 4 2 3'
loop_
_atom_site_label
_atom_site_type_symbol
_atom_site_fract_x
_atom_site_fract_y
_atom_site_fract_z
_atom_site_occupancy
K1 K 0.0000 0.0000 0.5000 1
Na1 Na 0.5000 0.5000 0.5000 1
Cr1 Cr 0.0000 0.0000 0.0000 1



# SrAg4Hg PBEsol optimized geometry
# * energy of formation from the pure elements: -0.2023 eV/atom
# * V: 491 Å³/cell
# * VASP energy: -67.5 eV/cell
# * density of states at the Fermi level: 0.620 states/eV/atom
# * ρ: 9.7 Mg/m³
data_SrAg4Hg
_cell_length_a 7.8897
_cell_length_b 7.8897
_cell_length_c 7.8897
_cell_angle_alpha 90.00
_cell_angle_beta 90.00
_cell_angle_gamma 90.00
_space_group_name_H-M_alt 'F -4 3 m'
_space_group_IT_number 216
_space_group_name_Hall 'F -4 2 3'
loop_
_atom_site_label
_atom_site_type_symbol
_atom_site_fract_x
_atom_site_fract_y
_atom_site_fract_z
_atom_site_occupancy
Sr1 Sr 0.0000 0.0000 0.0000 1
Ag1 Ag 0.1245 0.1245 0.6245 1
Hg1 Hg 0.2500 0.2500 0.2500 1



# K2ZnPbAu PBEsol optimized geometry
# * energy of formation from the pure elements: 0.4074 eV/atom
# * V: 215 Å³/cell
# * VASP energy: -9.7 eV/cell
# * density of states at the Fermi level: 0.693 states/eV/atom
# * ρ: 4.2 Mg/m³
data_K2ZnPbAu
_cell_length_a 6.6531
_cell_length_b 6.6531
_cell_length_c 4.8537
_cell_angle_alpha 90.00
_cell_angle_beta 90.00
_cell_angle_gamma 90.00
_space_group_name_H-M_alt 'P 4/m m m'
_space_group_IT_number 123
_space_group_name_Hall '-P 4 2'
loop_
_atom_site_label
_atom_site_type_symbol
_atom_site_fract_x
_atom_site_fract_y
_atom_site_fract_z
_atom_site_occupancy
K1 K 0.0000 0.5000 0.0000 1
Zn1 Zn 0.0000 0.0000 0.5000 1
Pb1 Pb 0.0000 0.0000 0.0000 1
Au1 Au 0.5000 0.5000 0.5000 1



# BaTaAsBr2 PBEsol optimized geometry
# * V: 215 Å³/cell
# * VASP energy: -18.6 eV/cell
# * density of states at the Fermi level: 1.992 states/eV/atom
# * energy relative to the elements, uncorrected: 0.980 eV per atom
# * ρ: 4.3 Mg/m³
data_BaTaAsBr2
_cell_length_a 5.8741
_cell_length_b 5.8741
_cell_length_c 6.2218
_cell_angle_alpha 90.00
_cell_angle_beta 90.00
_cell_angle_gamma 90.00
_space_group_name_H-M_alt 'P 4/m m m'
_space_group_IT_number 123
_space_group_name_Hall '-P 4 2'
loop_
_atom_site_label
_atom_site_type_symbol
_atom_site_fract_x
_atom_site_fract_y
_atom_site_fract_z
_atom_site_occupancy
Ba1 Ba 0.0000 0.0000 0.0000 1
Ta1 Ta 0.5000 0.5000 0.5000 1
As1 As 0.0000 0.0000 0.5000 1
Br1 Br 0.0000 0.5000 0.0000 1



# CaYRh2 PBEsol optimized geometry
# * energy of formation from the pure elements: -0.2067 eV/atom
# * V: 165 Å³/cell
# * VASP energy: -52.1 eV/cell
# * density of states at the Fermi level: 0.524 states/eV/atom
# * ΔE to the lowest computed polymorph: 0.3448 eV/atom
# * ρ: 6.8 Mg/m³
data_CaYRh2
_cell_length_a 8.2362
_cell_length_b 3.4266
_cell_length_c 6.0105
_cell_angle_alpha 90.00
_cell_angle_beta 103.99
_cell_angle_gamma 90.00
_space_group_name_H-M_alt 'C 1 2/m 1'
_space_group_IT_number 12
loop_
_space_group_symop_operation_xyz
'x,y,z'
'-x,-y,-z'
'-x,y,-z'
'x,-y,z'
'x+1/2,y+1/2,z'
'-x+1/2,-y+1/2,-z'
'-x+1/2,y+1/2,-z'
'x+1/2,-y+1/2,z'
loop_
_atom_site_label
_atom_site_type_symbol
_atom_site_fract_x
_atom_site_fract_y
_atom_site_fract_z
_atom_site_occupancy
Ca1 Ca 0.0000 0.0000 0.0000 1
Y1 Y 0.0000 0.5000 0.5000 1
Rh1 Rh 0.2453 0.0000 0.7151 1



# MnCoAs PBEsol optimized geometry
# * energy of formation from the pure elements: -0.1051 eV/atom
# * V: 37 Å³/cell
# * VASP energy: -22.9 eV/cell
# * density of states at the Fermi level: 0.588 states/eV/atom
# * ρ: 8.4 Mg/m³
data_MnCoAs
_cell_length_a 3.9040
_cell_length_b 3.9040
_cell_length_c 2.8133
_cell_angle_alpha 90.00
_cell_angle_beta 90.00
_cell_angle_gamma 120.00
_space_group_name_H-M_alt 'P -6 m 2'
_space_group_IT_number 187
_space_group_name_Hall 'P -6 2'
loop_
_atom_site_label
_atom_site_type_symbol
_atom_site_fract_x
_atom_site_fract_y
_atom_site_fract_z
_atom_site_occupancy
Mn1 Mn 0.0000 0.0000 0.0000 1
Co1 Co 0.6667 0.3333 0.5000 1
As1 As 0.3333 0.6667 0.5000 1



# HoLuCd2 PBEsol optimized geometry
# * energy of formation from the pure elements: -0.3388 eV/atom
# * V: 383 Å³/cell
# * VASP energy: -54.3 eV/cell
# * density of states at the Fermi level: 0.819 states/eV/atom
# * ρ: 9.8 Mg/m³
data_HoLuCd2
_cell_length_a 7.2620
_cell_length_b 7.2620
_cell_length_c 7.2620
_cell_angle_alpha 90.00
_cell_angle_beta 90.00
_cell_angle_gamma 90.00
_space_group_name_H-M_alt 'F m -3 m'
_space_group_IT_number 225
_space_group_name_Hall '-F 4 2 3'
loop_
_atom_site_label
_atom_site_type_symbol
_atom_site_fract_x
_atom_site_fract_y
_atom_site_fract_z
_atom_site_occupancy
Ho1 Ho 0.0000 0.0000 0.0000 1
Lu1 Lu 0.0000 0.0000 0.5000 1
Cd1 Cd 0.2500 0.2500 0.2500 1



# LaTeAs2 PBEsol optimized geometry
# * V: 204 Å³/cell
# * VASP energy: -44.8 eV/cell
# * density of states at the Fermi level: 0.271 states/eV/atom
# * energy relative to the elements, uncorrected: -0.831 eV per atom
# * ρ: 6.8 Mg/m³
data_LaTeAs2
_cell_length_a 4.2271
_cell_length_b 4.3112
_cell_length_c 11.2122
_cell_angle_alpha 90.00
_cell_angle_beta 90.00
_cell_angle_gamma 90.00
_space_group_name_H-M_alt 'A m m 2'
_space_group_IT_number 38
loop_
_space_group_symop_operation_xyz
'x,y,z'
'-x,-y,z'
'-x,y,z'
'x,-y,z'
'x,y+1/2,z+1/2'
'-x,-y+1/2,z+1/2'
'-x,y+1/2,z+1/2'
'x,-y+1/2,z+1/2'
loop_
_atom_site_label
_atom_site_type_symbol
_atom_site_fract_x
_atom_site_fract_y
_atom_site_fract_z
_atom_site_occupancy
La1 La 0.0000 0.0000 0.0000 1
Te1 Te 0.0000 0.0000 0.7114 1
As1 As 0.5000 0.0000 0.2148 1
As2 As 0.5000 0.0000 0.4330 1



# Mg2ScNi PBEsol optimized geometry
# * energy of formation from the pure elements: 0.0290 eV/atom
# * V: 72 Å³/cell
# * VASP energy: -16.1 eV/cell
# * density of states at the Fermi level: 0.822 states/eV/atom
# * ρ: 3.5 Mg/m³
data_Mg2ScNi
_cell_length_a 3.0094
_cell_length_b 4.5905
_cell_length_c 5.3529
_cell_angle_alpha 90.00
_cell_angle_beta 103.80
_cell_angle_gamma 90.00
_space_group_name_H-M_alt 'P 1 2/m 1'
_space_group_IT_number 10
loop_
_space_group_symop_operation_xyz
'x,y,z'
'-x,-y,-z'
'-x,y,-z'
'x,-y,z'
loop_
_atom_site_label
_atom_site_type_symbol
_atom_site_fract_x
_atom_site_fract_y
_atom_site_fract_z
_atom_site_occupancy
Mg1 Mg 0.1650 0.0000 0.2740 1
Sc1 Sc 0.5000 0.5000 0.0000 1
Ni1 Ni 0.0000 0.5000 0.5000 1



# AlPS2I PBEsol optimized geometry
# * V: 103 Å³/cell
# * VASP energy: -19.1 eV/cell
# * density of states at the Fermi level: 0.948 states/eV/atom
# * energy relative to the elements, uncorrected: 0.256 eV per atom
# * ρ: 4.0 Mg/m³
data_AlPS2I
_cell_length_a 4.4450
_cell_length_b 4.4450
_cell_length_c 5.1999
_cell_angle_alpha 90.00
_cell_angle_beta 90.00
_cell_angle_gamma 90.00
_space_group_name_H-M_alt 'P 4/m m m'
_space_group_IT_number 123
_space_group_name_Hall '-P 4 2'
loop_
_atom_site_label
_atom_site_type_symbol
_atom_site_fract_x
_atom_site_fract_y
_atom_site_fract_z
_atom_site_occupancy
Al1 Al 0.0000 0.0000 0.0000 1
P1 P 0.0000 0.0000 0.5000 1
S1 S 0.0000 0.5000 0.0000 1
I1 I 0.5000 0.5000 0.5000 1



# MnBeHg2 PBEsol optimized geometry
# * energy of formation from the pure elements: 0.2738 eV/atom
# * V: 63 Å³/cell
# * VASP energy: -13.8 eV/cell
# * density of states at the Fermi level: 0.339 states/eV/atom
# * ρ: 12.4 Mg/m³
data_MnBeHg2
_cell_length_a 2.8857
_cell_length_b 2.8857
_cell_length_c 7.5086
_cell_angle_alpha 90.00
_cell_angle_beta 90.00
_cell_angle_gamma 90.00
_space_group_name_H-M_alt 'P 4 m m'
_space_group_IT_number 99
loop_
_space_group_symop_operation_xyz
'x,y,z'
'-y,x,z'
'-x,-y,z'
'y,-x,z'
'-x,y,z'
'y,x,z'
'x,-y,z'
'-y,-x,z'
loop_
_atom_site_label
_atom_site_type_symbol
_atom_site_fract_x
_atom_site_fract_y
_atom_site_fract_z
_atom_site_occupancy
Mn1 Mn 0.0000 0.0000 0.0000 1
Be1 Be 0.5000 0.5000 0.1626 1
Hg1 Hg 0.0000 0.0000 0.3972 1
Hg2 Hg 0.5000 0.5000 0.7374 1



# HfRe2BiC PBEsol optimized geometry
# * energy of formation from the pure elements: 2.9447 eV/atom
# * V: 104 Å³/cell
# * VASP energy: -36.4 eV/cell
# * density of states at the Fermi level: 0.984 states/eV/atom
# * ρ: 12.3 Mg/m³
data_HfRe2BiC
_cell_length_a 5.0039
_cell_length_b 5.0039
_cell_length_c 4.1688
_cell_angle_alpha 90.00
_cell_angle_beta 90.00
_cell_angle_gamma 90.00
_space_group_name_H-M_alt 'P 4/m m m'
_space_group_IT_number 123
_space_group_name_Hall '-P 4 2'
loop_
_atom_site_label
_atom_site_type_symbol
_atom_site_fract_x
_atom_site_fract_y
_atom_site_fract_z
_atom_site_occupancy
Hf1 Hf 0.0000 0.0000 0.0000 1
Re1 Re 0.0000 0.5000 0.5000 1
Bi1 Bi 0.5000 0.5000 0.5000 1
C1 C 0.5000 0.5000 0.0000 1



# TlTc2Rh PBEsol optimized geometry
# * energy of formation from the pure elements: 0.7254 eV/atom
# * V: 63 Å³/cell
# * VASP energy: -30.4 eV/cell
# * density of states at the Fermi level: 1.582 states/eV/atom
# * ρ: 13.4 Mg/m³
data_TlTc2Rh
_cell_length_a 4.6576
_cell_length_b 4.6576
_cell_length_c 2.8838
_cell_angle_alpha 90.00
_cell_angle_beta 90.00
_cell_angle_gamma 90.00
_space_group_name_H-M_alt 'P 4/m m m'
_space_group_IT_number 123
_space_group_name_Hall '-P 4 2'
loop_
_atom_site_label
_atom_site_type_symbol
_atom_site_fract_x
_atom_site_fract_y
_atom_site_fract_z
_atom_site_occupancy
Tl1 Tl 0.0000 0.0000 0.0000 1
Tc1 Tc 0.0000 0.5000 0.5000 1
Rh1 Rh 0.5000 0.5000 0.0000 1



# LiReAs2 PBEsol optimized geometry
# * energy of formation from the pure elements: -0.2162 eV/atom
# * V: 64 Å³/cell
# * VASP energy: -26.4 eV/cell
# * density of states at the Fermi level: 0.156 states/eV/atom
# * ΔE to the lowest computed polymorph: 0.0000 eV/atom
# * ρ: 8.9 Mg/m³
data_LiReAs2
_cell_length_a 3.0386
_cell_length_b 3.0349
_cell_length_c 6.9710
_cell_angle_alpha 90.00
_cell_angle_beta 95.07
_cell_angle_gamma 90.00
_space_group_name_H-M_alt 'P 1 2/m 1'
_space_group_IT_number 10
loop_
_space_group_symop_operation_xyz
'x,y,z'
'-x,-y,-z'
'-x,y,-z'
'x,-y,z'
loop_
_atom_site_label
_atom_site_type_symbol
_atom_site_fract_x
_atom_site_fract_y
_atom_site_fract_z
_atom_site_occupancy
Li1 Li 0.0000 0.0000 0.0000 1
Re1 Re 0.0000 0.0000 0.5000 1
As1 As 0.4593 0.5000 0.2821 1



# SnIr2SeS PBEsol optimized geometry
# * V: 104 Å³/cell
# * VASP energy: -27.1 eV/cell
# * density of states at the Fermi level: 1.039 states/eV/atom
# * energy relative to the elements, uncorrected: 1.013 eV per atom
# * ρ: 9.8 Mg/m³
data_SnIr2SeS
_cell_length_a 4.5312
_cell_length_b 4.5312
_cell_length_c 5.0689
_cell_angle_alpha 90.00
_cell_angle_beta 90.00
_cell_angle_gamma 90.00
_space_group_name_H-M_alt 'P 4/m m m'
_space_group_IT_number 123
_space_group_name_Hall '-P 4 2'
loop_
_atom_site_label
_atom_site_type_symbol
_atom_site_fract_x
_atom_site_fract_y
_atom_site_fract_z
_atom_site_occupancy
Sn1 Sn 0.0000 0.0000 0.0000 1
Ir1 Ir 0.0000 0.5000 0.5000 1
Se1 Se 0.5000 0.5000 0.5000 1
S1 S 0.5000 0.5000 0.0000 1



# FeCu2W PBEsol optimized geometry
# * energy of formation from the pure elements: 0.3016 eV/atom
# * V: 50 Å³/cell
# * VASP energy: -30.2 eV/cell
# * density of states at the Fermi level: 0.957 states/eV/atom
# * ΔE to the lowest computed polymorph: 0.0450 eV/atom
# * ρ: 12.2 Mg/m³
data_FeCu2W
_cell_length_a 2.5928
_cell_length_b 2.5928
_cell_length_c 7.4331
_cell_angle_alpha 90.00
_cell_angle_beta 90.00
_cell_angle_gamma 90.00
_space_group_name_H-M_alt 'P 4/m m m'
_space_group_IT_number 123
_space_group_name_Hall '-P 4 2'
loop_
_atom_site_label
_atom_site_type_symbol
_atom_site_fract_x
_atom_site_fract_y
_atom_site_fract_z
_atom_site_occupancy
Fe1 Fe 0.0000 0.0000 0.0000 1
Cu1 Cu 0.5000 0.5000 0.2332 1
W1 W 0.0000 0.0000 0.5000 1



# Ag2HPb2 PBEsol optimized geometry
# * V: 209 Å³/cell
# * VASP energy: -32.6 eV/cell
# * density of states at the Fermi level: 0.364 states/eV/atom
# * ρ: 10.0 Mg/m³
data_Ag2HPb2
_cell_length_a 5.7799
_cell_length_b 5.7799
_cell_length_c 6.2501
_cell_angle_alpha 90.00
_cell_angle_beta 90.00
_cell_angle_gamma 90.00
_space_group_name_H-M_alt 'I 4/m m m'
_space_group_IT_number 139
_space_group_name_Hall '-I 4 2'
loop_
_atom_site_label
_atom_site_type_symbol
_atom_site_fract_x
_atom_site_fract_y
_atom_site_fract_z
_atom_site_occupancy
Ag1 Ag 0.0000 0.0000 0.2140 1
H1 H 0.0000 0.0000 0.5000 1
Pb1 Pb 0.0000 0.5000 0.2500 1



# MgTlOs2 PBEsol optimized geometry
# * energy of formation from the pure elements: 0.7884 eV/atom
# * V: 200 Å³/cell
# * VASP energy: -76.9 eV/cell
# * density of states at the Fermi level: 1.217 states/eV/atom
# * ρ: 15.2 Mg/m³
data_MgTlOs2
_cell_length_a 2.8265
_cell_length_b 2.8265
_cell_length_c 28.8985
_cell_angle_alpha 90.00
_cell_angle_beta 90.00
_cell_angle_gamma 120.00
_space_group_name_H-M_alt 'R -3 m'
_space_group_IT_number 166
_space_group_name_Hall '-R 3 2"'
loop_
_atom_site_label
_atom_site_type_symbol
_atom_site_fract_x
_atom_site_fract_y
_atom_site_fract_z
_atom_site_occupancy
Mg1 Mg 0.0000 0.0000 0.0000 1
Tl1 Tl 0.0000 0.0000 0.5000 1
Os1 Os 0.0000 0.0000 0.2562 1



# Tl5Cd PBEsol optimized geometry
# * energy of formation from the pure elements: 0.0295 eV/atom
# * V: 326 Å³/cell
# * VASP energy: -28.3 eV/cell
# * density of states at the Fermi level: 0.460 states/eV/atom
# * ΔE to the lowest computed polymorph: 0.0000 eV/atom
# * ρ: 11.6 Mg/m³
data_Tl5Cd
_cell_length_a 12.3247
_cell_length_b 3.5476
_cell_length_c 7.7926
_cell_angle_alpha 90.00
_cell_angle_beta 107.15
_cell_angle_gamma 90.00
_space_group_name_H-M_alt 'C 1 m 1'
_space_group_IT_number 8
loop_
_space_group_symop_operation_xyz
'x,y,z'
'x,-y,z'
'x+1/2,y+1/2,z'
'x+1/2,-y+1/2,z'
loop_
_atom_site_label
_atom_site_type_symbol
_atom_site_fract_x
_atom_site_fract_y
_atom_site_fract_z
_atom_site_occupancy
Tl1 Tl 0.0000 0.0000 0.0000 1
Tl2 Tl 0.0185 0.0000 0.5790 1
Tl3 Tl 0.1627 0.5000 0.3534 1
Tl4 Tl 0.2052 0.5000 0.8952 1
Tl5 Tl 0.3619 0.0000 0.2391 1
Cd1 Cd 0.3254 0.0000 0.6670 1



# Na2In2SiS6 PBEsol optimized geometry
# * V: 1079 Å³/cell
# * VASP energy: -200.5 eV/cell
# * density of states at the Fermi level: 0.000 states/eV/atom
# * energy relative to the elements, uncorrected: -0.847 eV per atom
# * ρ: 3.1 Mg/m³
data_Na2In2SiS6
_cell_length_a 11.9326
_cell_length_b 7.8611
_cell_length_c 12.1597
_cell_angle_alpha 90.00
_cell_angle_beta 108.86
_cell_angle_gamma 90.00
_space_group_name_H-M_alt 'C 1 c 1'
_space_group_IT_number 9
loop_
_space_group_symop_operation_xyz
'x,y,z'
'x,-y,z+1/2'
'x+1/2,y+1/2,z'
'x+1/2,-y+1/2,z+1/2'
loop_
_atom_site_label
_atom_site_type_symbol
_atom_site_fract_x
_atom_site_fract_y
_atom_site_fract_z
_atom_site_occupancy
Na1 Na 0.0000 0.0712 0.0000 1
Na2 Na 0.2812 0.1972 0.8250 1
In1 In 0.1468 0.4438 0.4912 1
In2 In 0.4614 0.0870 0.1868 1
Si1 Si 0.2070 0.2816 0.2452 1
S1 S 0.0183 0.2795 0.1961 1
S2 S 0.0844 0.2978 0.8742 1
S3 S 0.2462 0.0582 0.1625 1
S4 S 0.2805 0.2528 0.4285 1
S5 S 0.2847 0.4961 0.1915 1
S6 S 0.4816 0.2232 0.0143 1